VASP calculation (GGA+U) on Li6Ca12W4N16O3 after structural relaxation.

Total moment ... 0.0 μB/cell
SG ... I-43d, No. 220
Final energy ... -6.38 eV/atom

a = 11.405 Å, b = 11.405 Å, c = 11.405 Å
α = 109.47°, β = 109.47°, γ = 109.47°
Sites, in units of the cell vectors:
Li 0.024 0.250 0.274
Li 0.226 0.476 0.750
Li 0.250 0.274 0.024
Li 0.250 0.976 0.726
Li 0.274 0.024 0.250
Li 0.476 0.750 0.226
Li 0.524 0.774 0.750
Li 0.726 0.250 0.976
Li 0.750 0.226 0.476
Li 0.750 0.524 0.774
Li 0.774 0.750 0.524
Li 0.976 0.726 0.250
Ca 0.037 0.093 0.708
Ca 0.056 0.463 0.171
Ca 0.093 0.708 0.037
Ca 0.115 0.944 0.907
Ca 0.171 0.056 0.463
Ca 0.208 0.593 0.537
Ca 0.292 0.829 0.385
Ca 0.329 0.792 0.885
Ca 0.385 0.292 0.829
Ca 0.407 0.444 0.615
Ca 0.444 0.615 0.407
Ca 0.463 0.171 0.056
Ca 0.537 0.208 0.593
Ca 0.556 0.671 0.963
Ca 0.593 0.537 0.208
Ca 0.615 0.407 0.444
Ca 0.671 0.963 0.556
Ca 0.708 0.037 0.093
Ca 0.792 0.885 0.329
Ca 0.829 0.385 0.292
Ca 0.885 0.329 0.792
Ca 0.907 0.115 0.944
Ca 0.944 0.907 0.115
Ca 0.963 0.556 0.671
W 0.000 0.225 0.500
W 0.000 0.725 0.500
W 0.225 0.500 0.000
W 0.275 0.275 0.275
W 0.500 0.000 0.225
W 0.500 0.000 0.725
W 0.725 0.500 0.000
W 0.775 0.775 0.775
N 0.000 0.391 0.500
N 0.000 0.891 0.500
N 0.052 0.634 0.368
N 0.082 0.315 0.948
N 0.109 0.109 0.109
N 0.132 0.766 0.685
N 0.134 0.552 0.868
N 0.185 0.266 0.632
N 0.234 0.418 0.366
N 0.266 0.632 0.185
N 0.315 0.948 0.082
N 0.366 0.234 0.418
N 0.368 0.052 0.634
N 0.391 0.500 0.000
N 0.418 0.366 0.234
N 0.448 0.815 0.582
N 0.500 0.000 0.391
N 0.500 0.000 0.891
N 0.552 0.868 0.134
N 0.582 0.448 0.815
N 0.609 0.609 0.609
N 0.632 0.185 0.266
N 0.634 0.368 0.052
N 0.685 0.132 0.766
N 0.734 0.866 0.918
N 0.766 0.685 0.132
N 0.815 0.582 0.448
N 0.866 0.918 0.734
N 0.868 0.134 0.552
N 0.891 0.500 0.000
N 0.918 0.734 0.866
N 0.948 0.082 0.315
O 0.125 0.875 0.250
O 0.250 0.125 0.875
O 0.375 0.625 0.750
O 0.625 0.750 0.375
O 0.750 0.375 0.625
O 0.875 0.250 0.125